# SrTaRe

Crystalline SrTaRe at its relaxed geometry (PBE, the Alexandria database).

Size of the total moment in μB/atom: 0.00
Offset from the most stable computed form in meV/atom: 294.7
Energy relative to the elements in eV/f.u.: 2.315

Geometry as CIF:
```
data_SrTaRe
_symmetry_space_group_name_H-M 'P 3 m 1'
_symmetry_Int_Tables_number 156
_cell_length_a 3.3159
_cell_length_b 3.3159
_cell_length_c 7.4282
_cell_angle_alpha 90.00
_cell_angle_beta 90.00
_cell_angle_gamma 120.00
loop_
_symmetry_equiv_pos_as_xyz
'x,y,z'
'-y,x-y,z'
'-x+y,-x,z'
'-y,-x,z'
'-x+y,y,z'
'x,x-y,z'
loop_
_atom_site_label
_atom_site_fract_x
_atom_site_fract_y
_atom_site_fract_z
Sr1 0.0000 0.0000 0.0000
Ta1 0.3333 0.6667 0.4153
Re1 0.6667 0.3333 0.6410
```